Record 1
# Ho3CO6 PBE optimized geometry
# Electronic total energy   -8.04 eV per atom
# ΔE_f (raw)   -2771 meV/atom
data_Ho3CO6
_cell_length_a 8.6450
_cell_length_b 10.7794
_cell_length_c 5.7209
_cell_angle_alpha 90.00
_cell_angle_beta 90.00
_cell_angle_gamma 90.00
_symmetry_space_group_name_H-M 'C m c 21'
_symmetry_Int_Tables_number 36
loop_
_symmetry_equiv_pos_as_xyz
'x,y,z'
'-x,-y,z+1/2'
'-x,y,z'
'x,-y,z+1/2'
'x+1/2,y+1/2,z'
'-x+1/2,-y+1/2,z+1/2'
'-x+1/2,y+1/2,z'
'x+1/2,-y+1/2,z+1/2'
loop_
_atom_site_label
_atom_site_fract_x
_atom_site_fract_y
_atom_site_fract_z
Ho1 0.0000 0.0983 0.0000
Ho2 0.1987 0.3886 0.9691
C1 0.0000 0.3190 0.3552
O1 0.0000 0.2827 0.8526
O2 0.0000 0.4407 0.2649
O3 0.1345 0.2542 0.3015
O4 0.1629 0.0095 0.7365

Record 2
# TbSm2Ho4Sc PBE optimized geometry
# Electronic total energy   -4.81 eV per atom
data_TbSm2Ho4Sc
_cell_length_a 4.9879
_cell_length_b 4.9879
_cell_length_c 9.9351
_cell_angle_alpha 90.00
_cell_angle_beta 90.00
_cell_angle_gamma 90.00
_symmetry_space_group_name_H-M 'P 4/m m m'
_symmetry_Int_Tables_number 123
_symmetry_space_group_name_Hall '-P 4 2'
loop_
_atom_site_label
_atom_site_fract_x
_atom_site_fract_y
_atom_site_fract_z
Tb1 0.0000 0.0000 0.0000
Sm1 0.0000 0.0000 0.5000
Sm2 0.5000 0.5000 0.0000
Ho1 0.0000 0.5000 0.2550
Sc1 0.5000 0.5000 0.5000

Record 3
# LaPr4Er10 PBE optimized geometry
# Electronic total energy   -4.09 eV per atom
data_LaPr4Er10
_cell_length_a 12.9584
_cell_length_b 12.9584
_cell_length_c 6.5065
_cell_angle_alpha 90.00
_cell_angle_beta 90.00
_cell_angle_gamma 90.00
_symmetry_space_group_name_H-M 'I 4/m'
_symmetry_Int_Tables_number 87
_symmetry_space_group_name_Hall '-I 4'
loop_
_atom_site_label
_atom_site_fract_x
_atom_site_fract_y
_atom_site_fract_z
La1 0.0000 0.0000 0.0000
Pr1 0.0680 0.8265 0.5000
Er1 0.0000 0.5000 0.2500
Er2 0.1306 0.2948 0.2502

Record 4
# B2C PBE optimized geometry
# Energy relative to the lowest polymorph listed for this composition   302 meV per atom
# Electronic total energy   -7.04 eV per atom
data_B2C
_cell_length_a 4.4371
_cell_length_b 2.7143
_cell_length_c 6.7563
_cell_angle_alpha 90.00
_cell_angle_beta 91.66
_cell_angle_gamma 90.00
_symmetry_space_group_name_H-M 'P 1 m 1'
_symmetry_Int_Tables_number 6
loop_
_symmetry_equiv_pos_as_xyz
'x,y,z'
'x,-y,z'
loop_
_atom_site_label
_atom_site_fract_x
_atom_site_fract_y
_atom_site_fract_z
B1 0.0000 0.0000 0.0000
B2 0.0409 0.0000 0.7545
B3 0.1278 0.5000 0.3607
B4 0.3200 0.5000 0.0025
B5 0.4084 0.5000 0.7348
B6 0.6261 0.0000 0.0899
B7 0.6761 0.5000 0.9291
B8 0.7830 0.5000 0.6530
C1 0.3042 0.0000 0.4000
C2 0.3217 0.0000 0.6237
C3 0.6289 0.0000 0.3307
C4 0.7858 0.5000 0.4099

Record 5
# Np4Ag3O12 PBE optimized geometry
# Electronic total energy   -8.51 eV per atom
# ΔE_f (raw)   -2207 meV/atom
data_Np4Ag3O12
_cell_length_a 8.2932
_cell_length_b 8.2932
_cell_length_c 8.2932
_cell_angle_alpha 90.00
_cell_angle_beta 90.00
_cell_angle_gamma 90.00
_symmetry_space_group_name_H-M 'I m -3'
_symmetry_Int_Tables_number 204
_symmetry_space_group_name_Hall '-I 2 2 3'
loop_
_atom_site_label
_atom_site_fract_x
_atom_site_fract_y
_atom_site_fract_z
Np1 0.2500 0.2500 0.2500
Ag1 0.0000 0.0000 0.5000
O1 0.0000 0.2908 0.2057

Record 6
# Sc5In4Ru PBE optimized geometry
# Electronic total energy   -5.69 eV per atom
data_Sc5In4Ru
_cell_length_a 3.2542
_cell_length_b 3.2542
_cell_length_c 20.2153
_cell_angle_alpha 90.00
_cell_angle_beta 90.00
_cell_angle_gamma 90.00
_symmetry_space_group_name_H-M 'P 4/m m m'
_symmetry_Int_Tables_number 123
_symmetry_space_group_name_Hall '-P 4 2'
loop_
_atom_site_label
_atom_site_fract_x
_atom_site_fract_y
_atom_site_fract_z
Sc1 0.0000 0.0000 0.0000
Sc2 0.0000 0.0000 0.2101
Sc3 0.0000 0.0000 0.4242
In1 0.5000 0.5000 0.1049
In2 0.5000 0.5000 0.3144
Ru1 0.5000 0.5000 0.5000

Values for density, Mg/m³, ordered as above
7.51, 7.82, 7.22, 2.75, 8.52, 6.09